--- A ---
{"formula": "PrSm4Ho", "functional": "PBE-GGA", "state": "relaxed", "lattice": [[-5.441, -4.431, 0.675], [6.571, -2.353, -0.985], [1.369, -0.213, 9.639]], "species": ["Pr", "Pr", "Ho", "Ho", "Sm", "Sm", "Sm", "Sm", "Sm", "Sm", "Sm", "Sm"], "fractional_positions": [[0.822, 0.178, 0.250], [0.178, 0.822, 0.750], [0.000, 0.000, 0.000], [0.000, 0.000, 0.500], [0.652, 0.348, 0.572], [0.652, 0.348, 0.928], [0.635, 0.847, 0.750], [0.153, 0.365, 0.750], [0.365, 0.153, 0.250], [0.348, 0.652, 0.428], [0.847, 0.635, 0.250], [0.348, 0.652, 0.072]], "spacegroup": "No. 63"}

--- B ---
{"formula": "PrSm4Ho", "functional": "PBE-GGA", "state": "relaxed", "lattice": [[7.799, 1.928, 1.172], [5.037, 6.259, 1.172], [-0.657, -0.419, 5.054]], "species": ["Sm", "Sm", "Sm", "Sm", "Ho", "Pr"], "fractional_positions": [[0.166, 0.166, 0.500], [0.667, 0.667, 0.000], [0.333, 0.333, 0.000], [0.834, 0.834, 0.500], [0.000, 0.000, 0.000], [0.500, 0.500, 0.500]], "spacegroup": "No. 65"}

--- C ---
{"formula": "PrSm4Ho", "functional": "PBE-GGA", "state": "relaxed", "lattice": [[6.673, 0.000, 0.000], [3.336, 5.779, 0.000], [3.336, 1.926, 5.448]], "species": ["Sm", "Sm", "Sm", "Sm", "Ho", "Pr"], "fractional_positions": [[0.123, 0.626, 0.626], [0.626, 0.123, 0.626], [0.626, 0.626, 0.626], [0.626, 0.626, 0.123], [0.000, 0.000, 0.000], [0.250, 0.250, 0.250]], "spacegroup": "No. 216"}

Result of the stability comparison: C is the least stable of them.

--- A ---
{"formula": "Pr7Sm3Ho", "functional": "PBE-GGA", "state": "relaxed", "lattice": [[-6.560, -5.411, -5.457], [7.085, -1.571, 7.030], [-4.313, 2.355, 11.894]], "species": ["Pr", "Pr", "Pr", "Pr", "Pr", "Pr", "Pr", "Pr", "Pr", "Pr", "Pr", "Pr", "Pr", "Pr", "Sm", "Sm", "Sm", "Sm", "Sm", "Sm", "Ho", "Ho"], "fractional_positions": [[0.428, 0.093, 0.029], [0.093, 0.427, 0.471], [0.085, 0.425, 0.965], [0.162, 0.891, 0.276], [0.353, 0.353, 0.750], [0.891, 0.162, 0.224], [0.915, 0.575, 0.035], [0.838, 0.109, 0.724], [0.572, 0.907, 0.971], [0.109, 0.838, 0.776], [0.574, 0.915, 0.465], [0.426, 0.085, 0.535], [0.647, 0.647, 0.250], [0.907, 0.573, 0.529], [0.311, 0.670, 0.727], [0.000, 0.000, 0.500], [0.689, 0.330, 0.273], [0.330, 0.689, 0.227], [0.670, 0.311, 0.773], [0.000, 0.000, 0.000], [0.500, 0.500, 0.500], [0.500, 0.500, 0.000]], "spacegroup": "No. 15"}

--- B ---
{"formula": "Pr7Sm3Ho", "functional": "PBE-GGA", "state": "relaxed", "lattice": [[6.001, -0.193, -0.248], [-2.695, 8.161, 1.122], [-2.695, -0.890, 8.189]], "species": ["Pr", "Pr", "Pr", "Pr", "Pr", "Pr", "Pr", "Sm", "Sm", "Sm", "Ho"], "fractional_positions": [[0.305, 0.597, 0.013], [0.789, 0.790, 0.790], [0.695, 0.987, 0.403], [0.305, 0.013, 0.597], [0.211, 0.210, 0.210], [0.000, 0.500, 0.500], [0.695, 0.403, 0.987], [0.000, 0.793, 0.207], [0.000, 0.207, 0.793], [0.500, 0.000, 0.000], [0.500, 0.500, 0.500]], "spacegroup": "No. 12"}

Result of the stability comparison: B is the least stable of them.

--- A ---
{"formula": "Pr3SmHo4", "functional": "PBE-GGA", "state": "relaxed", "lattice": [[0.001, -3.082, -1.612], [8.802, -1.833, -0.241], [0.384, -5.628, 7.006]], "species": ["Ho", "Ho", "Ho", "Ho", "Pr", "Pr", "Pr", "Sm"], "fractional_positions": [[0.365, 0.382, 0.887], [0.635, 0.618, 0.113], [0.365, 0.887, 0.382], [0.635, 0.113, 0.618], [0.758, 0.242, 0.242], [0.000, 0.500, 0.500], [0.242, 0.758, 0.758], [0.500, 0.000, 0.000]], "spacegroup": "No. 71"}

--- B ---
{"formula": "Pr3SmHo4", "functional": "PBE-GGA", "state": "relaxed", "lattice": [[-4.512, 2.137, 3.863], [-4.846, -4.517, -3.161], [2.676, -8.254, 7.690]], "species": ["Ho", "Ho", "Ho", "Ho", "Ho", "Ho", "Ho", "Ho", "Pr", "Pr", "Pr", "Pr", "Pr", "Pr", "Sm", "Sm"], "fractional_positions": [[0.648, 0.121, 0.000], [0.147, 0.879, 0.000], [0.148, 0.879, 0.500], [0.481, 0.880, 0.251], [0.981, 0.120, 0.751], [0.481, 0.880, 0.749], [0.981, 0.120, 0.249], [0.647, 0.121, 0.500], [0.983, 0.628, 0.250], [0.483, 0.372, 0.250], [0.146, 0.372, 0.500], [0.646, 0.628, 0.000], [0.983, 0.628, 0.750], [0.483, 0.372, 0.750], [0.146, 0.370, 0.000], [0.646, 0.630, 0.500]], "spacegroup": "No. 31"}

Result of the stability comparison: A is the least stable of them.

--- A ---
{"formula": "PrSm7Ho2", "functional": "PBE-GGA", "state": "relaxed", "lattice": [[-2.114, -4.251, -4.083], [6.187, 0.679, 8.863], [-7.525, -1.680, 2.434]], "species": ["Sm", "Sm", "Sm", "Sm", "Sm", "Sm", "Sm", "Ho", "Ho", "Pr"], "fractional_positions": [[0.197, 0.599, 0.798], [0.500, 0.500, 0.000], [0.700, 0.100, 0.798], [0.803, 0.401, 0.202], [0.101, 0.301, 0.401], [0.300, 0.900, 0.202], [0.899, 0.699, 0.599], [0.602, 0.801, 0.401], [0.398, 0.199, 0.599], [0.000, 0.000, 0.000]], "spacegroup": "No. 2"}

--- B ---
{"formula": "PrSm7Ho2", "functional": "PBE-GGA", "state": "relaxed", "lattice": [[-1.799, -3.434, -4.220], [-3.587, -5.747, 6.205], [-4.828, 6.942, -3.590]], "species": ["Sm", "Sm", "Sm", "Sm", "Sm", "Sm", "Sm", "Pr", "Ho", "Ho"], "fractional_positions": [[0.500, 0.500, 0.500], [0.500, 0.938, 0.705], [0.000, 0.773, 0.227], [0.500, 0.295, 0.062], [0.000, 0.227, 0.773], [0.500, 0.062, 0.295], [0.500, 0.705, 0.938], [0.000, 0.000, 0.000], [0.500, 0.704, 0.296], [0.500, 0.296, 0.704]], "spacegroup": "No. 65"}

Result of the stability comparison: B is the least stable of them.